Record 1
# SrLaSb2Pd5

SrLaSb2Pd5 after structural relaxation (PBE, Alexandria via LeMat-Bulk).

Lattice parameters (Å, degrees): 4.756 4.756 8.729 90.00 90.00 90.00
Atoms (fractional coordinates):
Sr (0.000, 0.000, 0.000)
La (0.000, 0.000, 0.500)
Sb (0.500, 0.500, 0.334)
Sb (0.500, 0.500, 0.666)
Pd (0.000, 0.500, 0.217)
Pd (0.000, 0.500, 0.783)
Pd (0.500, 0.000, 0.217)
Pd (0.500, 0.000, 0.783)
Pd (0.500, 0.500, 0.000)

Values from the calculation:
total energy: -5.212 eV per atom
E_form (uncorrected): -0.6766 eV/atom
magnetization: 0.00 μB per formula unit



Record 2
# LaThTe2O

LaThTe2O after structural relaxation (PBE, Alexandria via LeMat-Bulk).

Lattice parameters (Å, degrees): 4.365 4.365 15.086 90.00 90.00 90.00
Atoms (fractional coordinates):
La (0.250, 0.250, 0.073)
La (0.750, 0.750, 0.927)
Th (0.250, 0.250, 0.602)
Th (0.750, 0.750, 0.398)
Te (0.250, 0.250, 0.381)
Te (0.250, 0.250, 0.803)
Te (0.750, 0.750, 0.197)
Te (0.750, 0.750, 0.619)
O (0.250, 0.750, 0.000)
O (0.750, 0.250, 0.000)

Values from the calculation:
total energy: -6.734 eV per atom
E_form (uncorrected): -2.0163 eV/atom
magnetization: 0.00 μB per formula unit



Record 3
# Pr10Pb4N3

Pr10Pb4N3 after structural relaxation (PBE, Alexandria via LeMat-Bulk).

Lattice parameters (Å, degrees): 18.816 18.816 18.816 164.55 164.55 21.92
Atoms (fractional coordinates):
Pr (0.000, 0.500, 0.500)
Pr (0.068, 0.068, 0.000)
Pr (0.136, 0.636, 0.500)
Pr (0.208, 0.208, 0.000)
Pr (0.364, 0.864, 0.500)
Pr (0.500, 0.000, 0.500)
Pr (0.636, 0.136, 0.500)
Pr (0.792, 0.792, 0.000)
Pr (0.864, 0.364, 0.500)
Pr (0.932, 0.932, 0.000)
Pb (0.299, 0.299, 0.000)
Pb (0.432, 0.432, 0.000)
Pb (0.568, 0.568, 0.000)
Pb (0.701, 0.701, 0.000)
N (0.000, 0.000, 0.000)
N (0.141, 0.141, 0.000)
N (0.859, 0.859, 0.000)

Values from the calculation:
total energy: -5.970 eV per atom
E_form (uncorrected): -0.8168 eV/atom
magnetization: 0.00 μB per formula unit



Record 4
# YIr2Cl

YIr2Cl after structural relaxation (PBE, Alexandria via LeMat-Bulk).

Lattice parameters (Å, degrees): 4.309 4.309 7.720 104.72 104.72 53.20
Atoms (fractional coordinates):
Y (0.000, 0.000, 0.000)
Ir (0.437, 0.437, 0.265)
Ir (0.740, 0.740, 0.255)
Cl (0.262, 0.262, 0.783)

Values from the calculation:
total energy: -7.061 eV per atom
E_form (uncorrected): -0.5528 eV/atom
magnetization: 0.00 μB per formula unit
relative energy among the computed polymorphs: 0 meV per atom



Record 5
# Sr12H5Au3

Sr12H5Au3 after structural relaxation (PBE, Alexandria via LeMat-Bulk).

Lattice parameters (Å, degrees): 14.720 14.720 14.720 109.47 109.47 109.47
Atoms (fractional coordinates):
Sr (0.024, 0.212, 0.122)
Sr (0.024, 0.312, 0.903)
Sr (0.090, 0.712, 0.688)
Sr (0.090, 0.878, 0.403)
Sr (0.097, 0.622, 0.410)
Sr (0.097, 0.976, 0.688)
Sr (0.122, 0.024, 0.212)
Sr (0.122, 0.597, 0.910)
Sr (0.188, 0.212, 0.590)
Sr (0.188, 0.476, 0.597)
Sr (0.212, 0.122, 0.024)
Sr (0.212, 0.590, 0.188)
Sr (0.288, 0.312, 0.910)
Sr (0.288, 0.476, 0.378)
Sr (0.312, 0.903, 0.024)
Sr (0.312, 0.910, 0.288)
Sr (0.378, 0.288, 0.476)
Sr (0.378, 0.590, 0.903)
Sr (0.403, 0.090, 0.878)
Sr (0.403, 0.812, 0.524)
Sr (0.410, 0.097, 0.622)
Sr (0.410, 0.812, 0.788)
Sr (0.476, 0.378, 0.288)
Sr (0.476, 0.597, 0.188)
Sr (0.524, 0.403, 0.812)
Sr (0.524, 0.622, 0.712)
Sr (0.590, 0.188, 0.212)
Sr (0.590, 0.903, 0.378)
Sr (0.597, 0.188, 0.476)
Sr (0.597, 0.910, 0.122)
Sr (0.622, 0.410, 0.097)
Sr (0.622, 0.712, 0.524)
Sr (0.688, 0.090, 0.712)
Sr (0.688, 0.097, 0.976)
Sr (0.712, 0.524, 0.622)
Sr (0.712, 0.688, 0.090)
Sr (0.788, 0.410, 0.812)
Sr (0.788, 0.878, 0.976)
Sr (0.812, 0.524, 0.403)
Sr (0.812, 0.788, 0.410)
Sr (0.878, 0.403, 0.090)
Sr (0.878, 0.976, 0.788)
Sr (0.903, 0.024, 0.312)
Sr (0.903, 0.378, 0.590)
Sr (0.910, 0.122, 0.597)
Sr (0.910, 0.288, 0.312)
Sr (0.976, 0.688, 0.097)
Sr (0.976, 0.788, 0.878)
H (0.000, 0.000, 0.000)
H (0.000, 0.000, 0.500)
H (0.000, 0.500, 0.000)
H (0.000, 0.500, 0.500)
H (0.125, 0.750, 0.875)
H (0.125, 0.875, 0.250)
H (0.250, 0.125, 0.875)
H (0.250, 0.625, 0.375)
H (0.375, 0.250, 0.625)
H (0.375, 0.625, 0.750)
H (0.500, 0.000, 0.000)
H (0.500, 0.000, 0.500)
H (0.500, 0.500, 0.000)
H (0.500, 0.500, 0.500)
H (0.625, 0.375, 0.250)
H (0.625, 0.750, 0.375)
H (0.750, 0.375, 0.625)
H (0.750, 0.875, 0.125)
H (0.875, 0.125, 0.750)
H (0.875, 0.250, 0.125)
Au (0.125, 0.250, 0.375)
Au (0.125, 0.375, 0.750)
Au (0.250, 0.375, 0.125)
Au (0.250, 0.875, 0.625)
Au (0.375, 0.125, 0.250)
Au (0.375, 0.750, 0.125)
Au (0.625, 0.250, 0.875)
Au (0.625, 0.875, 0.750)
Au (0.750, 0.125, 0.375)
Au (0.750, 0.625, 0.875)
Au (0.875, 0.625, 0.250)
Au (0.875, 0.750, 0.625)

Values from the calculation:
total energy: -2.752 eV per atom
magnetization: 0.00 μB per formula unit



Record 6
# AsOsRu2

AsOsRu2 after structural relaxation (PBE, Alexandria via LeMat-Bulk).

Lattice parameters (Å, degrees): 4.696 4.696 4.589 94.39 94.39 35.27
Atoms (fractional coordinates):
As (0.000, 0.000, 0.000)
Os (0.500, 0.500, 0.500)
Ru (0.233, 0.233, 0.739)
Ru (0.767, 0.767, 0.261)

Values from the calculation:
total energy: -8.364 eV per atom
E_form: 23.53 kJ/mol of atoms
magnetization: 0.00 μB per formula unit



Record 7
# TcIr2Ru

TcIr2Ru after structural relaxation (PBE, Alexandria via LeMat-Bulk).

Lattice parameters (Å, degrees): 3.847 3.847 3.872 90.00 90.00 90.00
Atoms (fractional coordinates):
Tc (0.000, 0.000, 0.000)
Ir (0.000, 0.500, 0.500)
Ir (0.500, 0.000, 0.500)
Ru (0.500, 0.500, 0.000)

Values from the calculation:
total energy: -9.447 eV per atom
E_form: -10.23 kJ/mol of atoms
magnetization: 0.00 μB per formula unit
relative energy among the computed polymorphs: 61 meV per atom



Record 8
# Mg4As

Mg4As after structural relaxation (PBE, Alexandria via LeMat-Bulk).

Lattice parameters (Å, degrees): 5.509 5.509 5.509 109.47 109.47 109.47
Atoms (fractional coordinates):
Mg (0.000, 0.000, 0.500)
Mg (0.000, 0.500, 0.000)
Mg (0.500, 0.000, 0.000)
Mg (0.500, 0.500, 0.500)
As (0.000, 0.000, 0.000)

Values from the calculation:
total energy: -2.119 eV per atom
E_form: 8.34 kJ/mol of atoms
magnetization: 0.00 μB per formula unit
relative energy among the computed polymorphs: 38 meV per atom